(1)
A plane-wave DFT calculation with PBE was carried out for a relaxed TaVSb2I crystal.

a b c (Å): 5.324 5.324 5.692
angles (deg): 90.00 90.00 90.00
Space group P4/mmm (No. 123)
Unique sites:
Ta: 0.000 0.000 0.000 (multiplicity 1)
V: 0.500 0.500 0.500 (multiplicity 1)
Sb: 0.000 0.500 0.000 (multiplicity 2)
I: 0.000 0.000 0.500 (multiplicity 1)

## Properties
distance to the lowest polymorph of the same formula: 0 kJ/mol of formula units
D(E_F): 7.90 states/eV/cell


(2)
A plane-wave DFT calculation with PBE was carried out for a relaxed Ho2Si3Ni12Rh crystal.

a b c (Å): 8.4612 8.4612 11.7177
angles (deg): 90.00 90.00 120.00
Space group R-3m (No. 166, hexagonal axes)
Unique sites:
Ho: 0.0000 0.0000 0.1776 (multiplicity 6)
Si: 0.0000 0.5000 0.0000 (multiplicity 9)
Ni: 0.0013 0.5007 0.3919 (multiplicity 18)
Ni: 0.0033 0.5017 0.1942 (multiplicity 18)
Rh: 0.0000 0.0000 0.5000 (multiplicity 3)

## Properties
D(E_F): 53.96 states/eV/cell
E: -311.988 eV/cell


(3)
A plane-wave DFT calculation with PBE was carried out for a relaxed TlCd9Hg2 crystal.

a b c (Å): 9.8453 9.8453 3.4675
angles (deg): 90.00 90.00 120.00
Space group P6/mmm (No. 191)
Unique sites:
Tl: 0.0000 0.0000 0.0000 (multiplicity 1)
Cd: 0.0000 0.5000 0.0000 (multiplicity 3)
Cd: 0.1764 0.3529 0.5000 (multiplicity 6)
Hg: 0.3333 0.6667 0.0000 (multiplicity 2)

## Properties
distance to the lowest polymorph of the same formula: 0 kJ/mol of formula units
D(E_F): 3.63 states/eV/cell


(4)
A plane-wave DFT calculation with PBE was carried out for a relaxed Nd6Ir2RuI3 crystal.

a b c (Å): 7.263 12.580 8.493
angles (deg): 90.00 106.56 90.00
Space group C2/m (No. 12)
Unique sites:
Nd: 0.226 0.165 0.184 (multiplicity 8)
Nd: 0.232 0.500 0.185 (multiplicity 4)
Ir: 0.000 0.333 0.000 (multiplicity 4)
Ru: 0.000 0.000 0.000 (multiplicity 2)
I: 0.000 0.166 0.500 (multiplicity 4)
I: 0.000 0.500 0.500 (multiplicity 2)

## Properties
D(E_F): 10.07 states/eV/cell
E: -140.943 eV/cell


(5)
A plane-wave DFT calculation with PBE was carried out for a relaxed PrNd6Sm3Tm2 crystal.

a b c (Å): 6.311 10.930 12.026
angles (deg): 90.00 100.08 90.00
Space group C2/m (No. 12)
Unique sites:
Pr: 0.000 0.000 0.000 (multiplicity 2)
Nd: 0.249 0.333 0.752 (multiplicity 8)
Nd: 0.249 0.500 0.248 (multiplicity 4)
Sm: 0.000 0.167 0.500 (multiplicity 4)
Sm: 0.000 0.500 0.500 (multiplicity 2)
Tm: 0.000 0.333 0.000 (multiplicity 4)

## Properties
D(E_F): 31.91 states/eV/cell
E: -112.609 eV/cell


(6)
A plane-wave DFT calculation with PBE was carried out for a relaxed BaNaPd2Au crystal.

a b c (Å): 4.857 4.857 5.914
angles (deg): 90.00 90.00 90.00
Space group P4/mmm (No. 123)
Unique sites:
Ba: 0.000 0.000 0.000 (multiplicity 1)
Na: 0.000 0.000 0.500 (multiplicity 1)
Pd: 0.000 0.500 0.500 (multiplicity 2)
Au: 0.500 0.500 0.000 (multiplicity 1)

## Properties
D(E_F): 1.24 states/eV/cell
E: -14.584 eV/cell


(7)
A plane-wave DFT calculation with PBE was carried out for a relaxed Ta3HgP crystal.

a b c (Å): 5.011 5.011 5.011
angles (deg): 90.00 90.00 90.00
Space group Pm-3m (No. 221)
Unique sites:
Ta: 0.000 0.000 0.500 (multiplicity 3)
Hg: 0.000 0.000 0.000 (multiplicity 1)
P: 0.500 0.500 0.500 (multiplicity 1)

## Properties
D(E_F): 4.29 states/eV/cell
E: -29.325 eV/cell


(8)
A plane-wave DFT calculation with PBE was carried out for a relaxed Pm2InPt crystal.

a b c (Å): 3.603 3.603 7.963
angles (deg): 90.00 90.00 90.00
Space group P4/mmm (No. 123)
Unique sites:
Pm: 0.000 0.000 0.220 (multiplicity 2)
In: 0.500 0.500 0.500 (multiplicity 1)
Pt: 0.500 0.500 0.000 (multiplicity 1)

## Properties
D(E_F): 2.48 states/eV/cell
E: -21.415 eV/cell


(9)
A plane-wave DFT calculation with PBE was carried out for a relaxed Pm5Te2Os2 crystal.

a b c (Å): 16.071 8.003 7.913
angles (deg): 90.00 90.00 90.00
Space group Cmce (No. 64)
Unique sites:
Pm: 0.000 0.000 0.000 (multiplicity 4)
Pm: 0.120 0.177 0.325 (multiplicity 16)
Te: 0.210 0.000 0.000 (multiplicity 8)
Os: 0.000 0.112 0.610 (multiplicity 8)

## Properties
D(E_F): 22.80 states/eV/cell
E: -234.671 eV/cell


(10)
A plane-wave DFT calculation with PBE was carried out for a relaxed AcTbPrY crystal.

a b c (Å): 5.267 5.267 10.445
angles (deg): 90.00 90.00 90.00
Space group I-4m2 (No. 119)
Unique sites:
Ac: 0.000 0.000 0.000 (multiplicity 2)
Tb: 0.000 0.000 0.500 (multiplicity 2)
Pr: 0.000 0.500 0.250 (multiplicity 2)
Y: 0.000 0.500 0.750 (multiplicity 2)

## Properties
distance to the lowest polymorph of the same formula: 0 kJ/mol of formula units
D(E_F): 13.33 states/eV/cell


(11)
A plane-wave DFT calculation with PBE was carried out for a relaxed KAg2IrO4 crystal.

a b c (Å): 6.141 6.141 6.999
angles (deg): 90.00 90.00 90.00
Space group I-42m (No. 121)
Unique sites:
K: 0.000 0.000 0.000 (multiplicity 2)
Ag: 0.000 0.500 0.250 (multiplicity 4)
Ir: 0.000 0.000 0.500 (multiplicity 2)
O: 0.189 0.189 0.633 (multiplicity 8)

## Properties
D(E_F): 4.12 states/eV/cell
E: -77.933 eV/cell


(12)
A plane-wave DFT calculation with PBE was carried out for a relaxed HfBe2Ru crystal.

a b c (Å): 3.843 3.843 16.412
angles (deg): 90.00 90.00 90.00
Space group I-42d (No. 122)
Unique sites:
Hf: 0.000 0.000 0.000 (multiplicity 4)
Be: 0.072 0.250 0.625 (multiplicity 8)
Ru: 0.000 0.000 0.500 (multiplicity 4)

## Properties
distance to the lowest polymorph of the same formula: 169 kJ/mol of formula units
D(E_F): 9.42 states/eV/cell


(13)
A plane-wave DFT calculation with PBE was carried out for a relaxed NaSrLiCa2 crystal.

a b c (Å): 6.031 6.031 5.761
angles (deg): 90.00 90.00 90.00
Space group P4/mmm (No. 123)
Unique sites:
Na: 0.000 0.000 0.000 (multiplicity 1)
Sr: 0.500 0.500 0.000 (multiplicity 1)
Li: 0.000 0.000 0.500 (multiplicity 1)
Ca: 0.000 0.500 0.500 (multiplicity 2)

## Properties
D(E_F): 4.70 states/eV/cell
E: -8.031 eV/cell